(1)
Y2ZnBPb after structural relaxation. Source: Alexandria, functional GGA-PBE.

The calculation puts the energy of formation from the pure elements at -0.308 eV per atom. Its total energy is -26.1 eV per cell. Its crystal system is tetragonal.

It has space group P4/mmm (No. 123), with a = 5.1717 Å, b = 5.1717 Å, c = 4.1491 Å, α = 90.00°, β = 90.00° and γ = 90.00°. The asymmetric unit holds Y at (0.0000, 0.5000, 0.0000), Zn at (0.0000, 0.0000, 0.5000), B at (0.0000, 0.0000, 0.0000) and Pb at (0.5000, 0.5000, 0.5000).

(2)
YZr2BPb after structural relaxation. Source: Alexandria, functional GGA-PBE.

The calculation puts the energy of formation from the pure elements at -0.354 eV per atom. Its total energy is -35.7 eV per cell. Its crystal system is tetragonal.

It has space group P4/mmm (No. 123), with a = 4.7197 Å, b = 4.7197 Å, c = 4.9619 Å, α = 90.00°, β = 90.00° and γ = 90.00°. The asymmetric unit holds Y at (0.0000, 0.0000, 0.0000), Zr at (0.0000, 0.5000, 0.5000), B at (0.0000, 0.0000, 0.5000) and Pb at (0.5000, 0.5000, 0.0000).

(3)
Zn3BPb after structural relaxation. Source: Alexandria, functional GGA-PBE.

The calculation puts the energy of formation from the pure elements at 1.545 eV per atom. Its total energy is -6.5 eV per cell. For the distance to the lowest polymorph of the same formula, the calculation gives 1106.3 meV/atom. Its crystal system is cubic.

It has space group Pm-3m (No. 221), with a = 5.3302 Å, b = 5.3302 Å, c = 5.3302 Å, α = 90.00°, β = 90.00° and γ = 90.00°. The asymmetric unit holds Zn at (0.0000, 0.0000, 0.5000), B at (0.5000, 0.5000, 0.5000) and Pb at (0.0000, 0.0000, 0.0000).

(4)
Zn3BPb after structural relaxation. Source: Alexandria, functional GGA-PBE.

The calculation puts the energy of formation from the pure elements at 0.439 eV per atom. Its total energy is -12.0 eV per cell. For the distance to the lowest polymorph of the same formula, the calculation gives 0.0 meV/atom. Its crystal system is cubic.

It has space group Pm-3m (No. 221), with a = 4.4218 Å, b = 4.4218 Å, c = 4.4218 Å, α = 90.00°, β = 90.00° and γ = 90.00°. The asymmetric unit holds Zn at (0.0000, 0.0000, 0.5000), B at (0.0000, 0.0000, 0.0000) and Pb at (0.5000, 0.5000, 0.5000).

(5)
Zn2BPb after structural relaxation. Source: Alexandria, functional GGA-PBE.

The calculation puts the energy of formation from the pure elements at 1.021 eV per atom. Its total energy is -35.4 eV per cell. For the distance to the lowest polymorph of the same formula, the calculation gives 483.3 meV/atom. Its crystal system is cubic.

It has space group Fm-3m (No. 225), with a = 6.6385 Å, b = 6.6385 Å, c = 6.6385 Å, α = 90.00°, β = 90.00° and γ = 90.00°. The asymmetric unit holds Zn at (0.2500, 0.2500, 0.2500), B at (0.0000, 0.0000, 0.0000) and Pb at (0.0000, 0.0000, 0.5000).

(6)
ZnB2Pb after structural relaxation. Source: Alexandria, functional GGA-PBE.

The calculation puts the energy of formation from the pure elements at 1.010 eV per atom. Its total energy is -57.2 eV per cell. For the distance to the lowest polymorph of the same formula, the calculation gives 0.0 meV/atom. Its crystal system is tetragonal.

It has space group I-42d (No. 122), with a = 4.1491 Å, b = 4.1491 Å, c = 14.0410 Å, α = 90.00°, β = 90.00° and γ = 90.00°. The asymmetric unit holds Zn at (0.0000, 0.0000, 0.0000), B at (0.1122, 0.2500, 0.1250) and Pb at (0.0000, 0.0000, 0.5000).

(7)
ZnBPb2 after structural relaxation. Source: Alexandria, functional GGA-PBE.

The calculation puts the energy of formation from the pure elements at 0.734 eV per atom. Its total energy is -49.7 eV per cell. For the distance to the lowest polymorph of the same formula, the calculation gives 0.0 meV/atom. Its crystal system is tetragonal.

It has space group I-42d (No. 122), with a = 6.2672 Å, b = 6.2672 Å, c = 10.6116 Å, α = 90.00°, β = 90.00° and γ = 90.00°. The asymmetric unit holds Zn at (0.0000, 0.0000, 0.0000), B at (0.0000, 0.0000, 0.5000) and Pb at (0.1871, 0.2500, 0.6250).

(8)
ZnBPb2 after structural relaxation. Source: Alexandria, functional GGA-PBE.

The calculation puts the energy of formation from the pure elements at 0.916 eV per atom. Its total energy is -46.8 eV per cell. For the distance to the lowest polymorph of the same formula, the calculation gives 182.3 meV/atom. Its crystal system is cubic.

It has space group Fm-3m (No. 225), with a = 7.0687 Å, b = 7.0687 Å, c = 7.0687 Å, α = 90.00°, β = 90.00° and γ = 90.00°. The asymmetric unit holds Zn at (0.0000, 0.0000, 0.0000), B at (0.0000, 0.0000, 0.5000) and Pb at (0.2500, 0.2500, 0.2500).